DFT (GGA-PBE) results for an optimized crystal structure of PuHg3Pb.

Its space-group type is Cmcm, No. 63. For the calculated formation energy, the calculation gives 0.135 eV/atom. The value obtained for the magnetic moment is 1.225 μB per atom.

Unit cell a=10.0502 b=10.0502 c=5.5194 alpha=90.00 beta=90.00 gamma=145.66
With the nearest neighbours (Å) after each atom.
Fractional positions:
1 Pu 0.1498 0.8502 0.7500  8 Hg 3.19-3.28
2 Pu 0.8502 0.1498 0.2500  8 Hg 3.19-3.28
3 Hg 0.0000 0.0000 0.0000  2 Hg 2.76
4 Hg 0.0000 0.0000 0.5000  2 Hg 2.76
5 Hg 0.0460 0.4501 0.7500  2 Hg 2.94-2.99, 3 Pu 3.21-3.28, 1 Pb 3.29
6 Hg 0.4501 0.0460 0.2500  2 Hg 2.94-2.99, 3 Pu 3.21-3.28, 1 Pb 3.29
7 Hg 0.5499 0.9540 0.7500  2 Hg 2.94-2.99, 3 Pu 3.21-3.28, 1 Pb 3.29
8 Hg 0.9540 0.5499 0.2500  2 Hg 2.94-2.99, 3 Pu 3.21-3.28, 1 Pb 3.29
9 Pb 0.4506 0.5494 0.7500  6 Hg 3.29-3.41, 2 Pb 3.35
10 Pb 0.5494 0.4506 0.2500  6 Hg 3.29-3.41, 2 Pb 3.35